1.
Here is AsOsN3 after structural relaxation from Alexandria via LeMat-Bulk. Energies are from PBE.

extended XYZ file:
```
5
Lattice="3.880 0.000 0.000 0.000 3.880 0.000 0.000 0.000 3.880" Properties=species:S:1:pos:R:3 pbc="T T T"
As 0.000 0.000 0.000
Os 1.940 1.940 1.940
N 0.000 1.940 1.940
N 1.940 0.000 1.940
N 1.940 1.940 0.000
```

## Properties
Its formation energy from raw total energies is 1.319 eV/atom. Its space-group type is Pm-3m.

---

2.
Here is Mg2MoPt2 after structural relaxation from Alexandria via LeMat-Bulk. Energies are from PBE.

extended XYZ file:
```
10
Lattice="6.680 0.000 0.000 0.000 6.680 0.000 0.000 0.000 4.002" Properties=species:S:1:pos:R:3 pbc="T T T"
Mg 1.114 2.226 0.000
Mg 2.226 5.566 0.000
Mg 4.454 1.114 0.000
Mg 5.566 4.454 0.000
Mo 0.000 0.000 2.001
Mo 3.340 3.340 2.001
Pt 0.932 4.272 2.001
Pt 2.408 0.932 2.001
Pt 4.272 5.748 2.001
Pt 5.748 2.408 2.001
```

## Properties
Its space-group type is P4/mbm.

---

3.
Here is Ba3NaF after structural relaxation from Alexandria via LeMat-Bulk. Energies are from PBE.

extended XYZ file:
```
5
Lattice="5.940 0.000 0.000 0.000 5.940 0.000 0.000 0.000 5.940" Properties=species:S:1:pos:R:3 pbc="T T T"
Ba 0.000 0.000 2.970
Ba 0.000 2.970 0.000
Ba 2.970 0.000 0.000
Na 2.970 2.970 2.970
F 0.000 0.000 0.000
```

## Properties
Its formation energy from raw total energies is -0.984 eV/atom. Its space-group type is Pm-3m.

---

| no. | electronic total energy (eV per cell) |
| --- | --- |
| 1 | -34.26 |
| 2 | -55.19 |
| 3 | -13.88 |